No. 1
Compound: Fe2SiAu
Source: the Alexandria database
Functional: PBE
Structure: optimized geometry

a = 3.729 Å, b = 3.676 Å, c = 3.964 Å
α = 90.00°, β = 90.13°, γ = 90.00°
Fractional positions:
Fe 0.000 0.000 0.000
Fe 0.500 0.500 0.000
Si 0.000 0.500 0.500
Au 0.500 0.000 0.500

Summary:
Space-group type: P2/m, No. 10
E, eV per atom: -6.349
Density of states at the Fermi level, states/eV/cell: 3.4

***

No. 2
Compound: FeSiAu2
Source: the Alexandria database
Functional: PBE
Structure: optimized geometry

a = 2.942 Å, b = 4.206 Å, c = 5.349 Å
α = 90.00°, β = 103.45°, γ = 90.00°
Fractional positions:
Fe 0.000 0.000 0.000
Si 0.000 0.000 0.500
Au 0.346 0.500 0.743
Au 0.654 0.500 0.257

Summary:
Space-group type: P2/m, No. 10
E, eV per atom: -4.903
Density of states at the Fermi level, states/eV/cell: 2.8

***

Please write out number 2 again, unchanged.
Compound: FeSiAu2
Source: the Alexandria database
Functional: PBE
Structure: optimized geometry

a = 2.942 Å, b = 4.206 Å, c = 5.349 Å
α = 90.00°, β = 103.45°, γ = 90.00°
Fractional positions:
Fe 0.000 0.000 0.000
Si 0.000 0.000 0.500
Au 0.346 0.500 0.743
Au 0.654 0.500 0.257

Summary:
Space-group type: P2/m, No. 10
E, eV per atom: -4.903
Density of states at the Fermi level, states/eV/cell: 2.8